Record 1
The following is a PBE calculation of a relaxed structure of PmPr4Pd2, from the Alexandria database.

Cell: 8.1809 6.6694 8.1932 Å, 90.00 110.41 90.00°
With the nearest neighbours (Å) after each atom.
Space group P2_1/m (No. 11)
One atom of each set of equivalent atoms:
Pm1 0.1419 0.2500 0.3577  2 Pd 2.80-2.93
Pr1 0.0508 0.7500 0.0750  2 Pd 2.89-3.20
Pr2 0.2982 0.0002 0.7979  4 Pd 3.14-3.37, 2 Pr 3.33-3.34
Pr3 0.4253 0.7500 0.4509  2 Pd 2.89-3.20
Pd1 0.0660 0.7500 0.4331  1 Pm 2.80, 2 Pr 2.89
Pd2 0.3592 0.2500 0.1395  1 Pm 2.93, 6 Pr 3.14-3.20

As for the energy above the lowest structure with this stoichiometry: 0.0 meV per atom. The density comes out at 7.30 g/cm3.



Record 2
The following is a PBE calculation of a relaxed structure of PmPrPd2, from the Alexandria database.

Cell: 4.6367 3.9105 10.8952 Å, 90.00 90.00 90.00°
With the nearest neighbours (Å) after each atom.
Space group Amm2 (No. 38)
One atom of each set of equivalent atoms:
Pm1 0.0000 0.0000 0.0000  7 Pd 3.04-3.10
Pr1 0.5000 0.0000 0.7267  7 Pd 3.01-3.12
Pd1 0.0000 0.0000 0.2794  2 Pd 2.97, 3 Pm 3.04-3.10, 4 Pr 3.09
Pd2 0.5000 0.0000 0.4501  2 Pd 2.97, 3 Pr 3.01-3.12, 4 Pm 3.08

As for the energy above the lowest structure with this stoichiometry: 0.0 meV per atom. The density comes out at 8.38 g/cm3.



Record 3
The following is a PBE calculation of a relaxed structure of Pm3Pr4Pd2, from the Alexandria database.

Cell: 17.2812 3.8700 9.3261 Å, 90.00 112.79 90.00°
With the nearest neighbours (Å) after each atom.
Space group C2/m (No. 12)
One atom of each set of equivalent atoms:
Pm1 0.0000 0.0000 0.0000  4 Pd 2.98
Pm2 0.0731 0.0000 0.6794  2 Pd 2.98, 1 Pm 3.32
Pr1 0.1269 0.5000 0.3818  5 Pr 3.74-3.98, 6 Pm 3.78-3.90, 2 Pd 4.03-4.11
Pr2 0.2321 0.0000 0.1644  3 Pd 2.98-3.15
Pd1 0.1155 0.5000 0.9421  4 Pm 2.98, 3 Pr 2.98-3.15

Its total energy is -5.16 eV per atom. The density comes out at 7.00 g/cm3.



no.,total moment (Bohr magnetons per cell)
1,0.00
2,0.00
3,0.00